Computed, not measured: a relaxed structure of Al2ZnCu at the PBE level of DFT.

POSCAR file:
```
Al2ZnCu
1.0
-3.317 -0.280 -2.250
-0.531 -2.867 1.140
-2.842 0.402 4.139
Al Zn Cu
2 1 1
direct
0.000 0.959 0.945 Al
0.500 0.289 0.311 Al
0.500 0.550 0.776 Zn
0.000 0.703 0.468 Cu
```

Computed properties:
- Calculated volume: 15.0 A^3/atom

Computed, not measured: a relaxed structure of AlZn3Cu3 at the PBE level of DFT.

POSCAR file:
```
AlZn3Cu3
1.0
5.866 -0.005 -0.001
0.008 5.866 -0.001
0.001 0.001 5.755
Cu Zn Al
6 6 2
direct
0.000 0.000 0.243 Cu
0.000 0.500 0.750 Cu
0.000 0.500 0.250 Cu
0.500 0.000 0.250 Cu
0.500 0.000 0.750 Cu
0.000 0.000 0.757 Cu
0.269 0.731 0.500 Zn
0.265 0.265 0.500 Zn
0.731 0.269 0.500 Zn
0.270 0.730 0.000 Zn
0.730 0.270 0.000 Zn
0.735 0.735 0.500 Zn
0.265 0.265 0.000 Al
0.735 0.735 0.000 Al
```

Computed properties:
- Calculated volume: 14.1 A^3/atom

Computed, not measured: a relaxed structure of AlZnCu at the PBE level of DFT.

POSCAR file:
```
AlZnCu
1.0
-1.508 0.984 -3.664
-1.354 -2.927 -2.503
-4.000 -0.374 -0.729
Al Cu Zn
1 1 1
direct
0.500 0.500 0.500 Al
0.750 0.750 0.750 Cu
0.000 0.000 0.000 Zn
```

Computed properties:
- Calculated volume: 16.0 A^3/atom

Computed, not measured: a relaxed structure of AlZn4Cu at the PBE level of DFT.

POSCAR file:
```
AlZn4Cu
1.0
5.846 -0.043 2.292
-0.952 5.768 2.292
0.834 0.976 6.371
Cu Zn Al
2 8 2
direct
0.750 0.750 0.500 Cu
0.250 0.250 0.500 Cu
0.487 0.987 0.721 Zn
0.290 0.491 0.719 Zn
0.792 0.292 0.721 Zn
0.208 0.708 0.279 Zn
0.991 0.790 0.719 Zn
0.009 0.210 0.281 Zn
0.513 0.013 0.279 Zn
0.710 0.509 0.281 Zn
0.500 0.500 0.000 Al
0.000 0.000 0.000 Al
```

Computed properties:
- Calculated volume: 15.7 A^3/atom
- E above lowest polymorph: 0 meV/atom

Computed, not measured: a relaxed structure of AlZnCu3 at the PBE level of DFT.

POSCAR file:
```
AlZnCu3
1.0
4.630 0.000 0.000
0.000 5.901 0.344
0.000 -2.651 5.283
Al Cu Zn
2 6 2
direct
0.250 0.325 0.675 Al
0.750 0.675 0.325 Al
0.750 0.215 0.785 Cu
0.750 0.247 0.387 Cu
0.250 0.753 0.613 Cu
0.250 0.387 0.247 Cu
0.750 0.613 0.753 Cu
0.250 0.785 0.215 Cu
0.500 0.000 0.000 Zn
0.000 0.000 0.000 Zn
```

Computed properties:
- Calculated volume: 14.9 A^3/atom
- E above lowest polymorph: 0 meV/atom

Computed, not measured: a relaxed structure of AlZnCu at the PBE level of DFT.

POSCAR file:
```
AlZnCu
1.0
6.049 0.039 -0.041
5.416 2.694 -0.040
0.633 0.149 2.651
Zn Cu Al
1 1 1
direct
0.325 0.325 0.675 Zn
0.664 0.664 0.336 Cu
0.011 0.011 0.989 Al
```

Computed properties:
- Calculated volume: 14.2 A^3/atom

no.,D(E_F) (states/eV/atom),final energy (eV/atom),size of the total moment (μB/f.u.)
1,0.15,-3.266,0.00
2,0.39,-2.916,0.00
3,0.76,-3.069,0.00
4,0.31,-2.158,0.00
5,0.37,-3.302,0.00
6,0.10,-3.088,0.00